# DyNiAs2Rh2

Crystalline DyNiAs2Rh2 at its relaxed geometry (PBE, the Alexandria database).

Cell lengths 4.4669, 4.4669, 5.4475 Å; angles 90.00, 90.00, 90.00 degrees
Element x y z (fractional)
Dy (0.0000, 0.0000, 0.0000)
Ni (0.0000, 0.0000, 0.5000)
As (0.0000, 0.5000, 0.5000)
As (0.5000, 0.0000, 0.5000)
Rh (0.5000, 0.5000, 0.2408)
Rh (0.5000, 0.5000, 0.7592)

Computed properties:
**Space-group type**: P4/mmm
**Calculated total energy**: -6.02 eV/atom
**Fermi-level density of states**: 0.66 states/eV per atom
**ΔE_f**: -1.71 eV/f.u.